Entry 1:
# MnAl4Cd

A geometry-optimized MnAl4Cd structure (PBE-GGA, Alexandria).

Calculated values
* V: 17.575 Å³ per atom
* Fermi-level density of states: 3.487 states/eV/f.u.
* energy: -3.95 eV/atom
* total magnetic moment: 0.483 μB per atom

a = 7.4996 Å, b = 7.4996 Å, c = 7.4996 Å
α = 90.00°, β = 90.00°, γ = 90.00°
Last column: nearest neighbours and their distance in Å.
Space group F-43m (No. 216)
Unique sites:
Mn: 0.0000 0.0000 0.0000 [4 per cell]  12 Al 3.11, 4 Cd 3.25
Al: 0.1253 0.1253 0.6253 [16 per cell]  6 Al 2.65-2.66
Cd: 0.2500 0.2500 0.2500 [4 per cell]  12 Al 3.11, 4 Mn 3.25



Entry 2:
# Mn2AlCd

A geometry-optimized Mn2AlCd structure (PBE-GGA, Alexandria).

Calculated values
* V: 15.104 Å³ per atom
* Fermi-level density of states: 3.096 states/eV/f.u.
* energy: -5.69 eV/atom
* total magnetic moment: 0.333 μB per atom

a = 2.8297 Å, b = 2.8297 Å, c = 7.5455 Å
α = 90.00°, β = 90.00°, γ = 90.00°
Last column: nearest neighbours and their distance in Å.
Space group P4mm (No. 99)
Unique sites:
Mn: 0.0000 0.0000 0.0000 [1 per cell]  4 Mn 2.46
Mn: 0.5000 0.5000 0.1888 [1 per cell]  4 Mn 2.46, 4 Al 2.56
Al: 0.0000 0.0000 0.4009 [1 per cell]  4 Mn 2.56, 4 Al 2.83
Cd: 0.5000 0.5000 0.7167 [1 per cell]  4 Cd 2.83, 4 Mn 2.93, 4 Al 3.11



Entry 3:
# Mn2AlCd

A geometry-optimized Mn2AlCd structure (PBE-GGA, Alexandria).

Calculated values
* V: 16.313 Å³ per atom
* Fermi-level density of states: 2.960 states/eV/f.u.
* energy: -5.53 eV/atom
* total magnetic moment: 1.672 μB per atom

a = 8.9369 Å, b = 2.8201 Å, c = 5.2311 Å
α = 90.00°, β = 98.15°, γ = 90.00°
Last column: nearest neighbours and their distance in Å.
Space group C2/m (No. 12)
Unique sites:
Mn: 0.2435 0.0000 0.2203 [4 per cell]  3 Al 2.71, 4 Mn 2.72-2.82, 3 Cd 2.79-2.90
Al: 0.0000 0.5000 0.0000 [2 per cell]  6 Mn 2.71, 2 Al 2.82, 4 Cd 2.97
Cd: 0.0000 0.0000 0.5000 [2 per cell]  6 Mn 2.79-2.90, 2 Cd 2.82, 4 Al 2.97



Entry 4:
# MnAl2Cd

A geometry-optimized MnAl2Cd structure (PBE-GGA, Alexandria).

Calculated values
* V: 16.103 Å³ per atom
* Fermi-level density of states: 1.755 states/eV/f.u.
* energy: -4.34 eV/atom
* total magnetic moment: 0.695 μB per atom

a = 4.0555 Å, b = 4.0555 Å, c = 3.9164 Å
α = 90.00°, β = 90.00°, γ = 90.00°
Last column: nearest neighbours and their distance in Å.
Space group P4/mmm (No. 123)
Unique sites:
Mn: 0.0000 0.0000 0.0000 [1 per cell]  8 Al 2.82, 4 Cd 2.87
Al: 0.0000 0.5000 0.5000 [2 per cell]  4 Cd 2.82, 4 Mn 2.82, 4 Al 2.87
Cd: 0.5000 0.5000 0.0000 [1 per cell]  8 Al 2.82, 4 Mn 2.87



Entry 5:
# MnAl2Cd

A geometry-optimized MnAl2Cd structure (PBE-GGA, Alexandria).

Calculated values
* V: 16.635 Å³ per atom
* Fermi-level density of states: 2.098 states/eV/f.u.
* energy: -4.34 eV/atom
* total magnetic moment: 0.671 μB per atom

a = 2.9134 Å, b = 2.9134 Å, c = 27.1559 Å
α = 90.00°, β = 90.00°, γ = 120.00°
Last column: nearest neighbours and their distance in Å.
Space group R-3m (No. 166, hexagonal axes)
Unique sites:
Mn: 0.0000 0.0000 0.0000 [3 per cell]  6 Al 2.59
Al: 0.0000 0.0000 0.2607 [6 per cell]  3 Mn 2.59
Cd: 0.0000 0.0000 0.5000 [3 per cell]  6 Cd 2.91, 6 Al 3.06



Entry 6:
# MnAl2Cd

A geometry-optimized MnAl2Cd structure (PBE-GGA, Alexandria).

Calculated values
* V: 17.492 Å³ per atom
* Fermi-level density of states: 2.782 states/eV/f.u.
* energy: -4.13 eV/atom
* total magnetic moment: 0.923 μB per atom

a = 6.5412 Å, b = 6.5412 Å, c = 6.5412 Å
α = 90.00°, β = 90.00°, γ = 90.00°
Last column: nearest neighbours and their distance in Å.
Space group F-43m (No. 216)
Unique sites:
Mn: 0.0000 0.0000 0.0000 [4 per cell]  4 Al 2.83, 4 Cd 2.83
Al: 0.0000 0.0000 0.5000 [4 per cell]  4 Cd 2.83, 4 Al 2.83
Al: 0.2500 0.2500 0.2500 [4 per cell]  4 Mn 2.83, 4 Al 2.83
Cd: 0.2500 0.2500 0.7500 [4 per cell]  4 Mn 2.83, 4 Al 2.83



Entry 7:
# Mn2AlCd

A geometry-optimized Mn2AlCd structure (PBE-GGA, Alexandria).

Calculated values
* V: 15.342 Å³ per atom
* Fermi-level density of states: 2.978 states/eV/f.u.
* energy: -5.63 eV/atom
* total magnetic moment: 1.460 μB per atom

a = 4.0181 Å, b = 4.0181 Å, c = 3.8009 Å
α = 90.00°, β = 90.00°, γ = 90.00°
Last column: nearest neighbours and their distance in Å.
Space group P4/mmm (No. 123)
Unique sites:
Mn: 0.0000 0.5000 0.0000 [2 per cell]  4 Cd 2.77, 4 Al 2.77, 4 Mn 2.84
Al: 0.0000 0.0000 0.5000 [1 per cell]  8 Mn 2.77, 4 Cd 2.84
Cd: 0.5000 0.5000 0.5000 [1 per cell]  8 Mn 2.77, 4 Al 2.84



Entry 8:
# MnAlCd3

A geometry-optimized MnAlCd3 structure (PBE-GGA, Alexandria).

Calculated values
* V: 27.628 Å³ per atom
* Fermi-level density of states: 3.829 states/eV/f.u.
* ΔE to the lowest computed polymorph: 18.9 meV per atom
* total magnetic moment: 0.900 μB per atom

a = 5.1694 Å, b = 5.1694 Å, c = 5.1694 Å
α = 90.00°, β = 90.00°, γ = 90.00°
Last column: nearest neighbours and their distance in Å.
Space group Pm-3m (No. 221)
Unique sites:
Mn: 0.0000 0.0000 0.0000 [1 per cell]  12 Cd 3.66
Al: 0.5000 0.5000 0.5000 [1 per cell]  6 Cd 2.58
Cd: 0.0000 0.5000 0.5000 [3 per cell]  2 Al 2.58



Entry 9:
# Mn2AlCd

A geometry-optimized Mn2AlCd structure (PBE-GGA, Alexandria).

Calculated values
* V: 15.871 Å³ per atom
* Fermi-level density of states: 1.900 states/eV/f.u.
* energy: -5.55 eV/atom
* total magnetic moment: 0.226 μB per atom

a = 2.8800 Å, b = 2.8800 Å, c = 26.5129 Å
α = 90.00°, β = 90.00°, γ = 120.00°
Last column: nearest neighbours and their distance in Å.
Space group R3m (No. 160, hexagonal axes)
Unique sites:
Mn: 0.0000 0.0000 0.0000 [3 per cell]  3 Mn 2.45
Mn: 0.0000 0.0000 0.2653 [3 per cell]  3 Mn 2.45, 3 Al 2.60
Al: 0.0000 0.0000 0.5232 [3 per cell]  3 Mn 2.60, 6 Al 2.88
Cd: 0.0000 0.0000 0.7583 [3 per cell]  6 Cd 2.88, 3 Mn 2.94, 3 Al 3.09



Entry 10:
# MnAl2Cd

A geometry-optimized MnAl2Cd structure (PBE-GGA, Alexandria).

Calculated values
* V: 16.364 Å³ per atom
* Fermi-level density of states: 2.395 states/eV/f.u.
* energy: -4.30 eV/atom
* total magnetic moment: 0.674 μB per atom

a = 2.9219 Å, b = 4.6164 Å, c = 4.8526 Å
α = 90.00°, β = 90.00°, γ = 90.00°
Last column: nearest neighbours and their distance in Å.
Space group Pmm2 (No. 25)
Unique sites:
Mn: 0.0000 0.0000 0.0000 [1 per cell]  4 Al 2.66-2.70, 4 Cd 2.90, 2 Mn 2.92
Al: 0.0000 0.5000 0.7128 [1 per cell]  2 Mn 2.70, 4 Cd 2.79-2.87, 6 Al 2.85-2.92
Al: 0.5000 0.0000 0.5419 [1 per cell]  2 Mn 2.66, 2 Cd 2.83, 6 Al 2.85-2.92
Cd: 0.5000 0.5000 0.2029 [1 per cell]  6 Al 2.79-2.87, 4 Mn 2.90, 2 Cd 2.92



Entry 11:
# MnAl2Cd

A geometry-optimized MnAl2Cd structure (PBE-GGA, Alexandria).

Calculated values
* V: 16.123 Å³ per atom
* Fermi-level density of states: 2.599 states/eV/f.u.
* energy: -4.41 eV/atom
* total magnetic moment: 0.355 μB per atom

a = 2.9138 Å, b = 2.9570 Å, c = 7.4853 Å
α = 90.00°, β = 90.63°, γ = 90.00°
Last column: nearest neighbours and their distance in Å.
Space group P2/m (No. 10)
Unique sites:
Mn: 0.0000 0.0000 0.0000 [1 per cell]  8 Al 2.51
Al: 0.4947 0.5000 0.8107 [2 per cell]  4 Mn 2.51
Cd: 0.0000 0.0000 0.5000 [1 per cell]  4 Cd 2.91-2.96, 8 Al 3.10-3.14



Entry 12:
# Mn4AlCd

A geometry-optimized Mn4AlCd structure (PBE-GGA, Alexandria).

Calculated values
* V: 13.336 Å³ per atom
* Fermi-level density of states: 8.824 states/eV/f.u.
* energy: -6.63 eV/atom
* total magnetic moment: 0.779 μB per atom

a = 6.8404 Å, b = 6.8404 Å, c = 6.8404 Å
α = 90.00°, β = 90.00°, γ = 90.00°
Last column: nearest neighbours and their distance in Å.
Space group F-43m (No. 216)
Unique sites:
Mn: 0.1242 0.1242 0.1242 [16 per cell]  6 Mn 2.40-2.43
Al: 0.2500 0.2500 0.7500 [4 per cell]  12 Mn 2.83, 4 Cd 2.96
Cd: 0.0000 0.0000 0.5000 [4 per cell]  12 Mn 2.84, 4 Al 2.96



Entry 13:
# Mn2AlCd

A geometry-optimized Mn2AlCd structure (PBE-GGA, Alexandria).

Calculated values
* V: 15.587 Å³ per atom
* Fermi-level density of states: 2.351 states/eV/f.u.
* energy: -5.58 eV/atom
* total magnetic moment: 1.514 μB per atom

a = 10.2944 Å, b = 2.8709 Å, c = 4.7236 Å
α = 90.00°, β = 116.72°, γ = 90.00°
Last column: nearest neighbours and their distance in Å.
Space group Cm (No. 8)
Unique sites:
Mn: 0.0000 0.0000 0.0000 [2 per cell]  4 Mn 2.69-2.87, 3 Al 2.70-2.96, 4 Cd 2.76-2.77
Mn: 0.2398 0.5000 0.3546 [2 per cell]  4 Mn 2.69-2.87, 4 Al 2.73-2.81, 3 Cd 2.83-2.86
Al: 0.2590 0.0000 0.8823 [2 per cell]  7 Mn 2.70-2.96, 3 Cd 2.85, 2 Al 2.87
Cd: 0.4988 0.0000 0.5002 [2 per cell]  7 Mn 2.76-2.86, 3 Al 2.85, 2 Cd 2.87



Entry 14:
# Mn3AlCd

A geometry-optimized Mn3AlCd structure (PBE-GGA, Alexandria).

Calculated values
* V: 24.076 Å³ per atom
* Fermi-level density of states: 5.403 states/eV/f.u.
* ΔE to the lowest computed polymorph: 467.5 meV per atom
* total magnetic moment: 2.372 μB per atom

a = 4.9376 Å, b = 4.9376 Å, c = 4.9376 Å
α = 90.00°, β = 90.00°, γ = 90.00°
Last column: nearest neighbours and their distance in Å.
Space group Pm-3m (No. 221)
Unique sites:
Mn: 0.0000 0.0000 0.5000 [3 per cell]  2 Cd 2.47
Al: 0.5000 0.5000 0.5000 [1 per cell]  12 Mn 3.49
Cd: 0.0000 0.0000 0.0000 [1 per cell]  6 Mn 2.47



Entry 15:
# MnAl2Cd

A geometry-optimized MnAl2Cd structure (PBE-GGA, Alexandria).

Calculated values
* V: 15.804 Å³ per atom
* Fermi-level density of states: 2.796 states/eV/f.u.
* energy: -4.32 eV/atom
* total magnetic moment: 0.452 μB per atom

a = 3.9471 Å, b = 3.9471 Å, c = 8.1153 Å
α = 90.00°, β = 90.00°, γ = 90.00°
Last column: nearest neighbours and their distance in Å.
Space group I4/mmm (No. 139)
Unique sites:
Mn: 0.0000 0.0000 0.0000 [2 per cell]  4 Cd 2.79, 8 Al 2.83
Al: 0.0000 0.5000 0.2500 [4 per cell]  4 Al 2.79, 4 Cd 2.83, 4 Mn 2.83
Cd: 0.0000 0.0000 0.5000 [2 per cell]  4 Mn 2.79, 8 Al 2.83